The following is a DFT calculation (PBE) of a geometry-optimized SrBeTe2I structure.

```
SrBeTe2I
1.0
6.4820 0.0000 0.0000
0.0000 6.4820 0.0000
0.0000 0.0000 6.3286
Sr Be Te I
1 1 2 1
Direct
0.0000 0.0000 0.0000
0.5000 0.5000 0.5000
0.0000 0.5000 0.0000
0.5000 0.0000 0.0000
0.0000 0.0000 0.5000
```

Values from the calculation:
M_tot ... 3.03 μB per formula unit
ΔE_f (raw) ... 45.7 kJ per mole of atoms
V ... 265.9 Å³/cell



The following is a DFT calculation (PBE) of a geometry-optimized Sr3SiSb2Pd9 structure.

```
Sr3SiSb2Pd9
1.0
6.8806 0.0000 0.0000
-3.4403 5.9588 0.0000
0.0000 0.0000 8.6543
Sr Si Sb Pd
3 1 2 9
Direct
0.0000 0.0000 0.0000
0.3333 0.6667 0.6738
0.6667 0.3333 0.3262
0.0000 0.0000 0.5000
0.3333 0.6667 0.2004
0.6667 0.3333 0.7996
0.0000 0.5000 0.0000
0.1337 0.2674 0.3012
0.1337 0.8663 0.3012
0.2674 0.1337 0.6988
0.5000 0.0000 0.0000
0.5000 0.5000 0.0000
0.7326 0.8663 0.3012
0.8663 0.1337 0.6988
0.8663 0.7326 0.6988
```

Values from the calculation:
M_tot ... 0.00 μB per formula unit
ΔE_f (raw) ... -52.9 kJ per mole of atoms
V ... 354.8 Å³/cell



The following is a DFT calculation (PBE) of a geometry-optimized NaSm3Sn12 structure.

```
NaSm3Sn12
1.0
4.7046 0.0000 0.0000
0.0000 4.7046 0.0000
0.0000 0.0000 19.3032
Na Sm Sn
1 3 12
Direct
0.0000 0.0000 0.0000
0.0000 0.0000 0.2539
0.0000 0.0000 0.5000
0.0000 0.0000 0.7461
0.0000 0.5000 0.1233
0.0000 0.5000 0.3752
0.0000 0.5000 0.6248
0.0000 0.5000 0.8767
0.5000 0.0000 0.1233
0.5000 0.0000 0.3752
0.5000 0.0000 0.6248
0.5000 0.0000 0.8767
0.5000 0.5000 0.0000
0.5000 0.5000 0.2473
0.5000 0.5000 0.5000
0.5000 0.5000 0.7527
```

Values from the calculation:
M_tot ... 0.00 μB per formula unit
Formation enthalpy at 0 K ... -0.39 eV per atom
V ... 427.2 Å³/cell



The following is a DFT calculation (PBE) of a geometry-optimized PmNd2Ga2Ag2 structure.

```
PmNd2Ga2Ag2
1.0
2.3391 1.3505 9.2051
-2.3391 1.3505 9.2051
0.0000 -2.7009 9.2051
Pm Nd Ga Ag
1 2 2 2
Direct
0.0000 0.0000 0.0000
0.1257 0.1257 0.1257
0.8743 0.8743 0.8743
0.2613 0.2613 0.2613
0.7387 0.7387 0.7387
0.3969 0.3969 0.3969
0.6031 0.6031 0.6031
```

Values from the calculation:
M_tot ... 0.00 μB per formula unit
Formation enthalpy at 0 K ... -0.38 eV per atom
V ... 174.5 Å³/cell